(1)
A relaxed structure of TlCd2GaAu, computed with PBE.

abc: 5.345 5.345 4.923
angles: 90.00 90.00 90.00
Space group P4/mmm (No. 123)
Inequivalent atoms, fractional coordinates:
1 Tl 0.000 0.000 0.000
2 Cd 0.000 0.500 0.500
3 Ga 0.500 0.500 0.000
4 Au 0.500 0.500 0.500

Results
- spin magnetization (μB per formula unit) = 0.0
- formation energy (meV/atom) = 52
- density (Mg/m³) = 8.2
- E (eV per atom) = -2.048
- crystal system = tetragonal

***

(2)
A relaxed structure of RbP3W, computed with PBE.

abc: 4.892 4.892 4.892
angles: 90.00 90.00 90.00
Space group Pm-3m (No. 221)
Inequivalent atoms, fractional coordinates:
1 Rb 0.000 0.000 0.000
2 P 0.000 0.000 0.500
3 W 0.500 0.500 0.500

Results
- spin magnetization (μB per formula unit) = 0.0
- formation energy (meV/atom) = 3101
- density (Mg/m³) = 5.1
- energy above the lowest structure with this stoichiometry (eV per formula unit) = 14.92
- E (eV per atom) = -2.929
- crystal system = cubic

***

(3)
A relaxed structure of PrEr2Mg2In2, computed with PBE.

abc: 5.0205 5.0205 26.4002
angles: 90.00 90.00 120.00
Space group R-3m (No. 166, hexagonal axes)
Inequivalent atoms, fractional coordinates:
1 Pr 0.0000 0.0000 0.0000
2 Er 0.0000 0.0000 0.1312
3 Mg 0.0000 0.0000 0.4088
4 In 0.0000 0.0000 0.2592

Results
- spin magnetization (μB per formula unit) = 0.0
- formation energy (meV/atom) = -237
- density (Mg/m³) = 6.5
- E (eV per atom) = -3.462
- crystal system = trigonal

***

(4)
A relaxed structure of Mn2HIrW, computed with PBE.

abc: 3.821 3.821 3.765
angles: 90.00 90.00 90.00
Space group P4/mmm (No. 123)
Inequivalent atoms, fractional coordinates:
1 Mn 0.000 0.500 0.000
2 H 0.000 0.000 0.000
3 Ir 0.000 0.000 0.500
4 W 0.500 0.500 0.500

Results
- spin magnetization (μB per formula unit) = 1.9
- density (Mg/m³) = 14.7
- energy above the lowest structure with this stoichiometry (eV per formula unit) = 0.02
- E (eV per atom) = -8.749
- crystal system = tetragonal

***

(5)
A relaxed structure of HfMgCo2N, computed with PBE.

abc: 4.742 4.742 4.096
angles: 90.00 90.00 90.00
Space group P4/mmm (No. 123)
Inequivalent atoms, fractional coordinates:
1 Hf 0.000 0.000 0.000
2 Mg 0.500 0.500 0.500
3 Co 0.000 0.500 0.000
4 N 0.000 0.000 0.500

Results
- spin magnetization (μB per formula unit) = 2.6
- density (Mg/m³) = 6.0
- E (eV per atom) = -5.928
- crystal system = tetragonal
- formation energy from raw total energies (eV/atom) = 0.889

***

(6)
A relaxed structure of NaAg2GeF8, computed with PBE.

abc: 5.125 6.975 5.237
angles: 90.00 95.03 90.00
Space group P2/m (No. 10)
Inequivalent atoms, fractional coordinates:
1 Na 0.000 0.000 0.000
2 Ag 0.500 0.253 0.500
3 Ge 0.000 0.500 0.000
4 F 0.167 0.312 0.838
5 F 0.272 0.500 0.269
6 F 0.315 0.000 0.311

Results
- spin magnetization (μB per formula unit) = 1.0
- density (Mg/m³) = 4.1
- E (eV per atom) = -4.178
- crystal system = monoclinic
- formation energy from raw total energies (eV/atom) = -1.961

***

(7)
A relaxed structure of NbCuMo, computed with PBE.

abc: 11.566 3.186 2.606
angles: 90.00 99.59 90.00
Space group Cm (No. 8)
Inequivalent atoms, fractional coordinates:
1 Nb 0.000 0.000 0.000
2 Cu 0.167 0.500 0.635
3 Mo 0.324 0.000 0.260

Results
- spin magnetization (μB per formula unit) = 0.0
- formation energy (meV/atom) = 224
- density (Mg/m³) = 8.9
- energy above the lowest structure with this stoichiometry (eV per formula unit) = 0.34
- E (eV per atom) = -8.108
- crystal system = monoclinic

***

(8)
A relaxed structure of Rb3PaSe3, computed with PBE.

abc: 9.520 14.312 8.934
angles: 90.00 106.63 90.00
Space group C2/m (No. 12)
Inequivalent atoms, fractional coordinates:
1 Rb 0.000 0.180 0.000
2 Rb 0.000 0.280 0.500
3 Rb 0.109 0.500 0.880
4 Pa 0.126 0.000 0.612
5 Se 0.135 0.000 0.296
6 Se 0.204 0.357 0.225

Results
- spin magnetization (μB per formula unit) = 1.1
- density (Mg/m³) = 4.1
- E (eV per atom) = -4.391
- crystal system = monoclinic
- formation energy from raw total energies (eV/atom) = -1.126

***

(9)
A relaxed structure of Sm6Ru2Au, computed with PBE.

abc: 9.543 9.606 10.452
angles: 90.00 90.00 90.00
Space group Immm (No. 71)
Inequivalent atoms, fractional coordinates:
1 Sm 0.000 0.194 0.241
2 Sm 0.186 0.500 0.171
3 Sm 0.219 0.319 0.500
4 Ru 0.000 0.324 0.000
5 Ru 0.000 0.500 0.374
6 Au 0.000 0.000 0.000
7 Au 0.000 0.000 0.500

Results
- spin magnetization (μB per formula unit) = 0.0
- formation energy (meV/atom) = -354
- density (Mg/m³) = 9.0
- E (eV per atom) = -5.926
- crystal system = orthorhombic

***

(10)
A relaxed structure of CaPr2DyHg4, computed with PBE.

abc: 5.3953 5.3953 26.3494
angles: 90.00 90.00 120.00
Space group R-3m (No. 166, hexagonal axes)
Inequivalent atoms, fractional coordinates:
1 Ca 0.0000 0.0000 0.0000
2 Pr 0.0000 0.0000 0.2517
3 Dy 0.0000 0.0000 0.5000
4 Hg 0.0000 0.0000 0.1270
5 Hg 0.0000 0.0000 0.3771

Results
- spin magnetization (μB per formula unit) = 0.0
- formation energy (meV/atom) = -509
- density (Mg/m³) = 9.7
- E (eV per atom) = -2.680
- crystal system = trigonal

***

Look up the spin magnetization of the sixth one.
1.0 μB per formula unit